Cd2BiMo2 after structural relaxation, computed with PBE.

Cell: 4.029 4.029 13.545 Å, 90.00 90.00 90.00°
Space group I4/mmm (No. 139)
Asymmetric unit:
Cd  0.000  0.500  0.250 (multiplicity 4)
Bi  0.000  0.000  0.000 (multiplicity 2)
Mo  0.000  0.000  0.414 (multiplicity 4)

Values from the calculation:
**DFT total energy**: -4.71 eV per atom
**Magnetic moment**: 1.146 μB per formula unit
**ΔH_f (0 K)**: 0.762 eV/atom
**E above lowest polymorph**: 0.2636 eV per atom
**Density of states at the Fermi level**: 0.9439 states/eV/atom